Record 1
Material: Pm2Sm6Sc
Method: DFT, PBE
State: optimized geometry

a = 8.3891 Å, b = 8.3891 Å, c = 5.3156 Å
α = 90.00°, β = 90.00°, γ = 124.93°
Last column: nearest neighbours and their distance in Å.
Positions (direct):
Pm 0.2263 0.7737 0.0000  10 Sm 3.67-3.93, 2 Pm 3.94
Pm 0.7737 0.2263 0.0000  10 Sm 3.67-3.93, 2 Pm 3.94
Sm 0.1409 0.4260 0.5000  1 Sc 3.05, 4 Sm 3.24-3.40
Sm 0.2607 0.2607 0.0000  2 Sc 3.34, 5 Sm 3.40-3.71
Sm 0.4260 0.1409 0.5000  1 Sc 3.05, 4 Sm 3.24-3.40
Sm 0.5740 0.8591 0.5000  1 Sc 3.05, 4 Sm 3.24-3.40
Sm 0.7393 0.7393 0.0000  2 Sc 3.34, 5 Sm 3.40-3.71
Sm 0.8591 0.5740 0.5000  1 Sc 3.05, 4 Sm 3.24-3.40
Sc 0.0000 0.0000 0.5000  8 Sm 3.05-3.34

Size of the total moment: 0.00 μB per cell
Space-group type: Cmmm
Energy relative to the elements: 0.234 eV per atom
Offset from the most stable computed form: 0.1396 eV/atom

=====

Record 2
Material: AsRu2Pb
Method: DFT, PBE
State: optimized geometry

a = 3.1299 Å, b = 4.7048 Å, c = 4.9067 Å
α = 90.00°, β = 90.00°, γ = 90.00°
Last column: nearest neighbours and their distance in Å.
Positions (direct):
As 0.0000 0.0000 0.0000  4 Ru 2.41-2.55
Ru 0.0000 0.5000 0.2005  2 As 2.55
Ru 0.5000 0.0000 0.3738  2 As 2.41
Pb 0.5000 0.5000 0.6877  6 Ru 2.81-2.96, 2 Pb 3.13

Size of the total moment: 0.00 μB per cell
Space-group type: Pmm2
Energy relative to the elements: 0.246 eV per atom
Offset from the most stable computed form: 0.0508 eV/atom